# PrZnAs2 GGA-PBE relaxed
# ΔE to the lowest computed polymorph (eV/atom): 0.2250
# D(E_F) (states/eV/cell): 3.354
# Magnetization (μB per formula unit): 0.0
# Formation enthalpy at 0 K (eV per atom): -0.50
# Symmetry: R-3m, No. 166
data_PrZnAs2
_chemical_formula_sum 'Pr1 Zn1 As2'
_space_group_name_H-M_alt 'P 1'
_space_group_IT_number 1
_cell_length_a 4.245
_cell_length_b 4.245
_cell_length_c 6.492
_cell_angle_alpha 70.92
_cell_angle_beta 70.92
_cell_angle_gamma 60.00
loop_
_space_group_symop_operation_xyz
'x,y,z'
loop_
_atom_site_label
_atom_site_type_symbol
_atom_site_fract_x
_atom_site_fract_y
_atom_site_fract_z
Pr1 Pr 0.500 0.500 0.500
As1 As 0.263 0.263 0.210
As2 As 0.737 0.737 0.790
Zn1 Zn 0.000 0.000 0.000